No. 1
MnZnSi2 | PBE | optimized geometry

Output
M_tot (μB/cell): 1.11
Formation energy without anion corrections (eV/atom): 0.017
Calculated volume (Å³ per atom): 12.99
D(E_F) (states/eV/cell): 1.30

abc: 3.2786 3.2786 4.8326
angles: 90.00 90.00 90.00
With the nearest neighbours (Å) after each atom.
Space group P4mm (No. 99)
Unique sites:
Mn (0.0000, 0.0000, 0.0000) [1 per cell]  6 Si 2.33-2.52
Zn (0.5000, 0.5000, 0.7177) [1 per cell]  6 Si 2.36-2.58
Si (0.0000, 0.0000, 0.4818) [1 per cell]  2 Mn 2.33-2.50, 4 Zn 2.58
Si (0.5000, 0.5000, 0.2059) [1 per cell]  2 Zn 2.36-2.47, 4 Mn 2.52

=====

No. 2
ErThRu2 | PBE | optimized geometry

Output
M_tot (μB/cell): 0.00
Calculated volume (Å³ per atom): 20.83
ΔH_f (0 K) (meV/atom): -453
D(E_F) (states/eV/cell): 1.52

abc: 4.8946 4.8946 3.4777
angles: 90.00 90.00 90.00
With the nearest neighbours (Å) after each atom.
Space group P4/mmm (No. 123)
Unique sites:
Er (0.0000, 0.0000, 0.0000) [1 per cell]  8 Ru 3.00
Th (0.5000, 0.5000, 0.0000) [1 per cell]  8 Ru 3.00
Ru (0.0000, 0.5000, 0.5000) [2 per cell]  4 Th 3.00, 4 Er 3.00

=====

No. 3
NaSm2ThTe4 | PBE | optimized geometry

Output
M_tot (μB/cell): 0.00
Formation energy without anion corrections (eV/atom): -1.254
Calculated volume (Å³ per atom): 31.47
D(E_F) (states/eV/cell): 5.31

abc: 7.6938 4.4232 7.8151
angles: 90.00 108.80 90.00
With the nearest neighbours (Å) after each atom.
Space group P2/m (No. 10)
Unique sites:
Na (0.0000, 0.0000, 0.0000) [1 per cell]  6 Te 3.12-3.16
Sm (0.5000, 0.0000, 0.5000) [1 per cell]  6 Te 3.16-3.19
Sm (0.5000, 0.5000, 0.0000) [1 per cell]  6 Te 3.14-3.15
Th (0.0000, 0.5000, 0.5000) [1 per cell]  6 Te 3.16-3.18
Te (0.2498, 0.0000, 0.7549) [2 per cell]  1 Na 3.12, 3 Sm 3.14-3.19, 2 Th 3.18
Te (0.2501, 0.5000, 0.2490) [2 per cell]  3 Sm 3.15-3.16, 2 Na 3.16, 1 Th 3.16

=====

No. 4
Er5Al2Zn | PBE | optimized geometry

Output
M_tot (μB/cell): 0.00
Calculated volume (Å³ per atom): 24.62
ΔH_f (0 K) (meV/atom): -210
D(E_F) (states/eV/cell): 32.74

abc: 4.2722 10.9655 16.8140
angles: 90.00 90.00 90.00
With the nearest neighbours (Å) after each atom.
Space group Cmcm (No. 63)
Unique sites:
Er (0.0000, 0.0482, 0.2500) [4 per cell]  3 Zn 3.00-3.28, 4 Al 3.35
Er (0.0000, 0.1595, 0.0460) [8 per cell]  2 Al 3.07, 5 Er 3.28-3.34
Er (0.0000, 0.4507, 0.1036) [8 per cell]  1 Zn 2.84
Al (0.0000, 0.2563, 0.6652) [8 per cell]  2 Zn 2.71, 1 Al 2.85
Zn (0.0000, 0.3215, 0.2500) [4 per cell]  4 Al 2.71, 3 Er 2.84-3.00

=====

No. 5
Na2CaPd | PBE | optimized geometry

Output
M_tot (μB/cell): 0.00
Calculated volume (Å³ per atom): 30.00
ΔH_f (0 K) (meV/atom): 188
D(E_F) (states/eV/cell): 3.83

abc: 3.4791 3.4791 34.3420
angles: 90.00 90.00 120.00
With the nearest neighbours (Å) after each atom.
Space group R-3m (No. 166, hexagonal axes)
Unique sites:
Na (0.0000, 0.0000, 0.1058) [6 per cell]  3 Pd 2.90
Ca (0.0000, 0.0000, 0.0000) [3 per cell]  6 Ca 3.48, 2 Na 3.63
Pd (0.0000, 0.0000, 0.5000) [3 per cell]  6 Na 2.90

=====

No. 6
La2EuPt | PBE | optimized geometry

Output
M_tot (μB/cell): 8.61
Calculated volume (Å³ per atom): 32.69
ΔH_f (0 K) (meV/atom): -518
D(E_F) (states/eV/cell): 5.49

abc: 3.7504 3.7504 9.2967
angles: 90.00 90.00 90.00
With the nearest neighbours (Å) after each atom.
Space group P4/mmm (No. 123)
Unique sites:
La (0.0000, 0.0000, 0.1808) [2 per cell]  4 Pt 3.14, 1 La 3.36
Eu (0.5000, 0.5000, 0.5000) [1 per cell]  4 Eu 3.75, 8 La 3.98
Pt (0.5000, 0.5000, 0.0000) [1 per cell]  8 La 3.14

=====

No. 7
YHo3In4 | PBE | optimized geometry

Output
M_tot (μB/cell): 0.00
Calculated volume (Å³ per atom): 26.36
ΔH_f (0 K) (meV/atom): -462
D(E_F) (states/eV/cell): 9.11

abc: 10.7359 7.2185 5.4420
angles: 90.00 90.00 90.00
With the nearest neighbours (Å) after each atom.
Space group Pmma (No. 51)
Unique sites:
Y (0.0000, 0.0000, 0.0000) [2 per cell]  8 In 3.26-3.27, 4 Ho 3.59-3.61
Ho (0.0000, 0.5000, 0.0000) [2 per cell]  8 In 3.25-3.26, 2 Ho 3.58, 2 Y 3.61
Ho (0.2500, 0.0000, 0.4370) [2 per cell]  8 In 3.23-3.32, 2 Y 3.59, 2 Ho 3.61
Ho (0.2500, 0.5000, 0.4342) [2 per cell]  8 In 3.23-3.29, 4 Ho 3.58-3.61
In (0.0000, 0.2513, 0.5000) [4 per cell]  6 Ho 3.25-3.26, 2 Y 3.27, 4 In 3.55-3.63
In (0.2500, 0.2513, 0.9271) [4 per cell]  6 Ho 3.23-3.32, 2 Y 3.26, 3 In 3.55-3.59

=====

No. 8
Tm4CdRh | PBE | optimized geometry

Output
M_tot (μB/cell): 0.00
Calculated volume (Å³ per atom): 25.15
ΔH_f (0 K) (meV/atom): -516
D(E_F) (states/eV/cell): 68.88

abc: 13.4147 13.4147 13.4147
angles: 90.00 90.00 90.00
With the nearest neighbours (Å) after each atom.
Space group F-43m (No. 216)
Unique sites:
Tm (0.0000, 0.0000, 0.1861) [24 per cell]  2 Cd 3.21, 2 Rh 3.44, 10 Tm 3.44-3.56
Tm (0.0611, 0.2500, 0.7500) [24 per cell]  2 Rh 2.78
Tm (0.1000, 0.1000, 0.4000) [16 per cell]  3 Rh 2.78
Cd (0.1687, 0.1687, 0.1687) [16 per cell]  3 Cd 3.09, 9 Tm 3.21-3.45
Rh (0.1073, 0.1073, 0.6073) [16 per cell]  6 Tm 2.78